# 1
A crystal of Na2MgAlF7 relaxed with PBEsol, computed with SCAN.

```
data_Na2MgAlF7
_cell_length_a 10.015
_cell_length_b 7.333
_cell_length_c 7.054
_cell_angle_alpha 90.00
_cell_angle_beta 90.00
_cell_angle_gamma 90.00
_symmetry_space_group_name_H-M 'I m a 2'
_symmetry_Int_Tables_number 46
_symmetry_space_group_name_Hall 'I 2 -2a'
loop_
_atom_site_label
_atom_site_type_symbol
_atom_site_fract_x
_atom_site_fract_y
_atom_site_fract_z
Na1 Na 0.000 0.000 0.000
Na2 Na 0.250 0.247 0.251
Mg1 Mg 0.250 0.750 0.251
Al1 Al 0.000 0.000 0.501
F1 F 0.086 0.221 0.501
F2 F 0.113 0.568 0.815
F3 F 0.113 0.569 0.187
F4 F 0.250 0.635 0.501
```

uncorrected formation energy: -3.5505 eV/atom
total DFT energy (no corrections): -7.726 eV/atom


# 2
A crystal of MgAlO2F relaxed with PBEsol, computed with SCAN.

```
data_MgAlO2F
_cell_length_a 3.861
_cell_length_b 3.861
_cell_length_c 3.534
_cell_angle_alpha 90.00
_cell_angle_beta 90.00
_cell_angle_gamma 90.00
_symmetry_space_group_name_H-M 'P 4/m m m'
_symmetry_Int_Tables_number 123
_symmetry_space_group_name_Hall '-P 4 2'
loop_
_atom_site_label
_atom_site_type_symbol
_atom_site_fract_x
_atom_site_fract_y
_atom_site_fract_z
Mg1 Mg 0.000 0.000 0.000
Al1 Al 0.500 0.500 0.500
O1 O 0.000 0.500 0.000
F1 F 0.000 0.000 0.500
```

uncorrected formation energy: -1.7583 eV/atom
total DFT energy (no corrections): -7.504 eV/atom


# 3
A crystal of MnAlF3 relaxed with PBEsol, computed with SCAN.

```
data_MnAlF3
_cell_length_a 3.955
_cell_length_b 3.955
_cell_length_c 3.955
_cell_angle_alpha 90.00
_cell_angle_beta 90.00
_cell_angle_gamma 90.00
_symmetry_space_group_name_H-M 'P m -3 m'
_symmetry_Int_Tables_number 221
_symmetry_space_group_name_Hall '-P 4 2 3'
loop_
_atom_site_label
_atom_site_type_symbol
_atom_site_fract_x
_atom_site_fract_y
_atom_site_fract_z
Mn1 Mn 0.000 0.000 0.000
Al1 Al 0.500 0.500 0.500
F1 F 0.000 0.500 0.500
```

uncorrected formation energy: -1.9673 eV/atom
total DFT energy (no corrections): -9.293 eV/atom


# 4
A crystal of MnAlOF2 relaxed with PBEsol, computed with SCAN.

```
data_MnAlOF2
_cell_length_a 4.095
_cell_length_b 4.095
_cell_length_c 3.733
_cell_angle_alpha 90.00
_cell_angle_beta 90.00
_cell_angle_gamma 90.00
_symmetry_space_group_name_H-M 'P 4/m m m'
_symmetry_Int_Tables_number 123
_symmetry_space_group_name_Hall '-P 4 2'
loop_
_atom_site_label
_atom_site_type_symbol
_atom_site_fract_x
_atom_site_fract_y
_atom_site_fract_z
Mn1 Mn 0.000 0.000 0.000
Al1 Al 0.500 0.500 0.500
O1 O 0.000 0.000 0.500
F1 F 0.000 0.500 0.000
```

uncorrected formation energy: -1.7932 eV/atom
total DFT energy (no corrections): -9.657 eV/atom


# 5
A crystal of AlMoF2 relaxed with PBEsol, computed with SCAN.

```
data_AlMoF2
_cell_length_a 5.785
_cell_length_b 5.785
_cell_length_c 5.785
_cell_angle_alpha 90.00
_cell_angle_beta 90.00
_cell_angle_gamma 90.00
_symmetry_space_group_name_H-M 'F m -3 m'
_symmetry_Int_Tables_number 225
_symmetry_space_group_name_Hall '-F 4 2 3'
loop_
_atom_site_label
_atom_site_type_symbol
_atom_site_fract_x
_atom_site_fract_y
_atom_site_fract_z
Al1 Al 0.000 0.000 0.000
Mo1 Mo 0.000 0.000 0.500
F1 F 0.250 0.250 0.250
```

energy above the lowest structure with this stoichiometry: 471 meV per atom
uncorrected formation energy: -0.3554 eV/atom
total DFT energy (no corrections): -12.785 eV/atom


# 6
A crystal of AlMoF2 relaxed with PBEsol, computed with SCAN.

```
data_AlMoF2
_cell_length_a 3.3550
_cell_length_b 3.3550
_cell_length_c 15.5677
_cell_angle_alpha 90.00
_cell_angle_beta 90.00
_cell_angle_gamma 120.00
_symmetry_space_group_name_H-M 'R -3 m'
_symmetry_Int_Tables_number 166
_symmetry_space_group_name_Hall '-R 3 2"'
loop_
_atom_site_label
_atom_site_type_symbol
_atom_site_fract_x
_atom_site_fract_y
_atom_site_fract_z
Al1 Al 0.0000 0.0000 0.0000
Mo1 Mo 0.0000 0.0000 0.5000
F1 F 0.0000 0.0000 0.3630
```

energy above the lowest structure with this stoichiometry: 0 meV per atom
uncorrected formation energy: -0.8261 eV/atom
total DFT energy (no corrections): -13.255 eV/atom


# 7
A crystal of AlNF2 relaxed with PBEsol, computed with SCAN.

```
data_AlNF2
_cell_length_a 5.150
_cell_length_b 5.150
_cell_length_c 8.940
_cell_angle_alpha 90.00
_cell_angle_beta 90.00
_cell_angle_gamma 90.00
_symmetry_space_group_name_H-M 'I 41/a m d'
_symmetry_Int_Tables_number 141
loop_
_symmetry_equiv_pos_as_xyz
'x,y,z'
'-x,-y,-z'
'-y+1/4,x+3/4,z+1/4'
'y+1/4,-x+3/4,-z+1/4'
'-x+1/2,-y,z+1/2'
'x+1/2,y,-z+1/2'
'y+1/4,-x+1/4,z+3/4'
'-y+1/4,x+1/4,-z+3/4'
'x,-y,-z'
'-x,y,z'
'-y+1/4,-x+1/4,-z+3/4'
'y+1/4,x+1/4,z+3/4'
'-x+1/2,y,-z+1/2'
'x+1/2,-y,z+1/2'
'y+1/4,x+3/4,-z+1/4'
'-y+1/4,-x+3/4,z+1/4'
'x+1/2,y+1/2,z+1/2'
'-x+1/2,-y+1/2,-z+1/2'
'-y+3/4,x+1/4,z+3/4'
'y+3/4,-x+1/4,-z+3/4'
'-x,-y+1/2,z'
'x,y+1/2,-z'
'y+3/4,-x+3/4,z+1/4'
'-y+3/4,x+3/4,-z+1/4'
'x+1/2,-y+1/2,-z+1/2'
'-x+1/2,y+1/2,z+1/2'
'-y+3/4,-x+3/4,-z+1/4'
'y+3/4,x+3/4,z+1/4'
'-x,y+1/2,-z'
'x,-y+1/2,z'
'y+3/4,x+1/4,-z+3/4'
'-y+3/4,-x+1/4,z+3/4'
loop_
_atom_site_label
_atom_site_type_symbol
_atom_site_fract_x
_atom_site_fract_y
_atom_site_fract_z
Al1 Al 0.000 0.250 0.375
N1 N 0.000 0.250 0.875
F1 F 0.000 0.000 0.500
```

energy above the lowest structure with this stoichiometry: 0 meV per atom
uncorrected formation energy: -1.0377 eV/atom
total DFT energy (no corrections): -7.068 eV/atom


# 8
A crystal of AlNF2 relaxed with PBEsol, computed with SCAN.

```
data_AlNF2
_cell_length_a 3.2270
_cell_length_b 3.2270
_cell_length_c 21.1428
_cell_angle_alpha 90.00
_cell_angle_beta 90.00
_cell_angle_gamma 120.00
_symmetry_space_group_name_H-M 'R -3 m'
_symmetry_Int_Tables_number 166
_symmetry_space_group_name_Hall '-R 3 2"'
loop_
_atom_site_label
_atom_site_type_symbol
_atom_site_fract_x
_atom_site_fract_y
_atom_site_fract_z
Al1 Al 0.0000 0.0000 0.0000
N1 N 0.0000 0.0000 0.5000
F1 F 0.0000 0.0000 0.3721
```

energy above the lowest structure with this stoichiometry: 469 meV per atom
uncorrected formation energy: -0.5689 eV/atom
total DFT energy (no corrections): -6.600 eV/atom


Copy entry 4 word for word.
A crystal of MnAlOF2 relaxed with PBEsol, computed with SCAN.

```
data_MnAlOF2
_cell_length_a 4.095
_cell_length_b 4.095
_cell_length_c 3.733
_cell_angle_alpha 90.00
_cell_angle_beta 90.00
_cell_angle_gamma 90.00
_symmetry_space_group_name_H-M 'P 4/m m m'
_symmetry_Int_Tables_number 123
_symmetry_space_group_name_Hall '-P 4 2'
loop_
_atom_site_label
_atom_site_type_symbol
_atom_site_fract_x
_atom_site_fract_y
_atom_site_fract_z
Mn1 Mn 0.000 0.000 0.000
Al1 Al 0.500 0.500 0.500
O1 O 0.000 0.000 0.500
F1 F 0.000 0.500 0.000
```

uncorrected formation energy: -1.7932 eV/atom
total DFT energy (no corrections): -9.657 eV/atom


The highest uncorrected formation energy belongs to which entry? number 5